# GGA-PBE ZnFeH, optimized geometry
data_ZnFeH
_space_group_name_H-M_alt 'P 3 m 1'
_space_group_IT_number 156
_space_group_name_Hall 'P 3 -2"'
_cell_length_a 2.7556
_cell_length_b 2.7556
_cell_length_c 4.2686
_cell_angle_alpha 90.00
_cell_angle_beta 90.00
_cell_angle_gamma 120.00
loop_
_atom_site_label
_atom_site_fract_x
_atom_site_fract_y
_atom_site_fract_z
Zn1 0.0000 0.0000 0.0000
Fe1 0.6667 0.3333 0.4794
H1 0.3333 0.6667 0.5979
# **N(E_F)**: 1.8 states/eV/f.u.
# **Total moment**: 1.78 μB/f.u.
# **Energy**: -4.33 eV/atom
# **Excess energy over the best structure of this formula in the dataset**: 6.0 meV/atom
# **Calculated density**: 7.23 g/cm3